A plane-wave DFT calculation with PBEsol was carried out for a geometry-optimized Li2SbP2 structure.

Unit cell a=8.522 b=8.522 c=8.522 alpha=157.78 beta=157.78 gamma=31.62
Fractional positions:
1 Li 0.120 0.120 0.000
2 Li 0.880 0.880 0.000
3 Sb 0.500 0.500 0.000
4 P 0.250 0.750 0.500
5 P 0.750 0.250 0.500

## Properties
Magnetic moment: 0.00 μB/f.u.
Crystal system: tetragonal
N(E_F): 1.7 states/eV/f.u.
Formation energy (no corrections): -0.2950 eV per atom